Material: Pa2MnWN5
Method: DFT, PBE
State: optimized geometry

a = 3.2166 Å, b = 12.9033 Å, c = 10.1224 Å
α = 90.00°, β = 90.00°, γ = 90.00°
Closest atoms and distances in Å follow each position.
Space group Cmc2_1 (No. 36)
Asymmetric unit:
Pa 0.0000 0.1044 0.0000 [4 per cell]  6 N 2.29-2.48
Pa 0.0000 0.1442 0.6303 [4 per cell]  7 N 2.36-2.49
Mn 0.0000 0.4624 0.7749 [4 per cell]  4 N 1.92-2.02
W 0.0000 0.1967 0.3319 [4 per cell]  6 N 1.97-2.20
N 0.0000 0.0506 0.3889 [4 per cell]  1 W 1.97, 2 Mn 1.99
N 0.0000 0.2829 0.9769 [4 per cell]  2 W 2.19, 3 Pa 2.32-2.43
N 0.0000 0.3208 0.6905 [4 per cell]  1 Mn 2.02, 2 W 2.17
N 0.0000 0.3670 0.3176 [4 per cell]  1 W 2.20, 1 Mn 2.24
N 0.0000 0.4887 0.0957 [4 per cell]  1 Mn 1.92

=====

Material: Tc3BrF
Method: DFT, PBE
State: optimized geometry

a = 4.3491 Å, b = 4.3491 Å, c = 4.3491 Å
α = 90.00°, β = 90.00°, γ = 90.00°
Closest atoms and distances in Å follow each position.
Space group Pm-3m (No. 221)
Asymmetric unit:
Tc 0.0000 0.0000 0.5000 [3 per cell]  2 F 2.17
Br 0.5000 0.5000 0.5000 [1 per cell]  12 Tc 3.08
F 0.0000 0.0000 0.0000 [1 per cell]  6 Tc 2.17

- Energy relative to the lowest polymorph listed for this composition: 0.00 eV per formula unit

=====

What did we get for energy? Answer: -10.236, -5.482 eV/atom, in the order shown.
What did we get for energy relative to the elements, uncorrected? Answer: -1.04, 1.45 eV/atom, in the order shown.